[1]
! Na2LaInTe4 | Alexandria via LeMat-Bulk | PBE | relaxed; values from VASP
&SYSTEM
  ibrav = 0, nat = 16, ntyp = 4
/
ATOMIC_SPECIES
Na 22.99 Na.upf
La 138.91 La.upf
In 114.82 In.upf
Te 127.60 Te.upf
ATOMIC_POSITIONS crystal
Na 0.5000 0.0000 0.0000
Na 0.5000 0.0000 0.5000
Na 0.0000 0.0000 0.5000
Na 0.5000 0.5000 0.0000
La 0.0000 0.5000 0.0000
La 0.0000 0.5000 0.5000
In 0.5000 0.5000 0.5000
In 0.0000 0.0000 0.0000
Te 0.2487 0.7511 0.9999
Te 0.7489 0.2513 0.5001
Te 0.2511 0.7487 0.4999
Te 0.7513 0.2489 0.0001
Te 0.7485 0.7524 0.9722
Te 0.7475 0.7515 0.5278
Te 0.2524 0.2485 0.4722
Te 0.2515 0.2476 0.0278
CELL_PARAMETERS angstrom
9.1026 -0.0418 -0.2215
-0.0481 9.1025 -0.2215
-4.6245 -4.6277 6.6285
! space-group type	Imma, No. 74
! E_tot	-3.794	eV per atom
! energy relative to the elements, uncorrected	-0.9349	eV/atom

***

[2]
! Ti2HOsPd | Alexandria via LeMat-Bulk | PBE | relaxed; values from VASP
&SYSTEM
  ibrav = 0, nat = 5, ntyp = 4
/
ATOMIC_SPECIES
H 1.01 H.upf
Os 190.23 Os.upf
Pd 106.42 Pd.upf
Ti 47.87 Ti.upf
ATOMIC_POSITIONS crystal
H 0.5000 0.5000 0.5000
Os 0.0000 0.5000 0.0000
Pd 0.0000 0.0000 0.0000
Ti 0.0000 0.0000 0.5000
Ti 0.5000 0.0000 0.0000
CELL_PARAMETERS angstrom
4.7651 0.0000 0.0000
0.0000 4.7129 0.0000
0.0000 0.0000 4.7651
! space-group type	P4/mmm, No. 123
! E_tot	-5.378	eV per atom

***

[3]
! Nd4Dy11Er9 | Alexandria via LeMat-Bulk | PBE | relaxed; values from VASP
&SYSTEM
  ibrav = 0, nat = 24, ntyp = 3
/
ATOMIC_SPECIES
Nd 144.24 Nd.upf
Dy 162.50 Dy.upf
Er 167.26 Er.upf
ATOMIC_POSITIONS crystal
Nd 0.5000 0.5543 0.7552
Nd 0.5000 0.4457 0.2448
Nd 0.5000 0.7552 0.5543
Nd 0.5000 0.2448 0.4457
Dy 0.0000 0.5933 0.9559
Dy 0.0000 0.4067 0.0441
Dy 0.0000 0.9559 0.5933
Dy 0.0000 0.0441 0.4067
Dy 0.0000 0.6351 0.3649
Dy 0.0000 0.3649 0.6351
Dy 0.0000 0.8404 0.1596
Dy 0.0000 0.1596 0.8404
Dy 0.0000 0.0000 0.0000
Dy 0.0000 0.7124 0.7124
Dy 0.0000 0.2876 0.2876
Er 0.5000 0.6341 0.1627
Er 0.5000 0.3659 0.8373
Er 0.5000 0.1627 0.6341
Er 0.5000 0.8373 0.3659
Er 0.5000 0.7888 0.9345
Er 0.5000 0.2112 0.0655
Er 0.5000 0.9345 0.7888
Er 0.5000 0.0655 0.2112
Er 0.5000 0.5000 0.5000
CELL_PARAMETERS angstrom
3.6737 0.0000 0.0000
0.0000 13.8505 -5.8778
0.0000 0.0381 15.0460
! ΔH_f (0 K)	0.0613	eV/atom
! space-group type	Cmmm, No. 65
! E_tot	-4.554	eV per atom

***

[4]
! TlAsBr | Alexandria via LeMat-Bulk | PBE | relaxed; values from VASP
&SYSTEM
  ibrav = 0, nat = 3, ntyp = 3
/
ATOMIC_SPECIES
Tl 204.38 Tl.upf
As 74.92 As.upf
Br 79.90 Br.upf
ATOMIC_POSITIONS crystal
Tl 0.6151 0.6151 0.0000
As 0.0814 0.0814 0.0000
Br 0.3035 0.3035 0.0000
CELL_PARAMETERS angstrom
6.3101 -0.0090 0.0083
3.1660 5.4584 -0.0083
-4.1836 -3.6888 2.9508
! space-group type	Imm2, No. 44
! E_tot	-2.886	eV per atom
! energy relative to the elements, uncorrected	0.0103	eV/atom